1.
KSi2Pb | PBE | relaxed

Values from the calculation:
E_tot: -0.13412 hartree per atom
SG: No. 123
ρ: 4.46 g/cm3
Total magnetic moment: 0.00 μB per formula unit
Formation energy without anion corrections: 0.263 eV/atom

abc: 3.9527 3.9523 7.2125
angles: 90.00 90.00 90.00
Closest atoms and distances in Å follow each position.
Fractional coordinates of all 4 atoms:
Pb (0.5000, 0.5000, 0.7500)  8 Si 3.04
Si (0.0000, 0.0000, 0.5856)  1 Si 2.37
K (0.5000, 0.5000, 0.2500)  2 Pb 3.61, 8 Si 3.70, 4 K 3.95
Si (0.0000, 0.0000, 0.9144)  1 Si 2.37

2.
CsK2TmCl6 | PBE | relaxed

Values from the calculation:
E_tot: -0.14665 hartree per atom
SG: No. 146
ρ: 2.68 g/cm3
Total magnetic moment: 0.00 μB per formula unit
Formation energy without anion corrections: -2.130 eV/atom

abc: 7.8345 7.8337 8.2546
angles: 61.66 61.66 59.97
Closest atoms and distances in Å follow each position.
Fractional coordinates of all 10 atoms:
Cl (0.9838, 0.5503, 0.2276)  1 Tm 2.63
K (0.5281, 0.5280, 0.4158)  6 Cl 3.21-3.27
Tm (0.3251, 0.3251, 0.0248)  6 Cl 2.63
Cl (0.3868, 0.6753, 0.7852)  1 Tm 2.63
Cl (0.2383, 0.9839, 0.2277)  1 Tm 2.63
K (0.0129, 0.0129, 0.9614)  6 Cl 3.09-3.29
Cs (0.8084, 0.8085, 0.5742)  6 Cl 3.36-3.63
Cl (0.5502, 0.2383, 0.2276)  1 Tm 2.63
Cl (0.6755, 0.1523, 0.7854)  1 Tm 2.63
Cl (0.1525, 0.3869, 0.7854)  1 Tm 2.63

3.
Dy2Ho6Er3 | PBE | relaxed

Values from the calculation:
E_tot: -0.15751 hartree per atom
SG: No. 139
ρ: 8.41 g/cm3
Total magnetic moment: 0.00 μB per formula unit

abc: 4.6720 4.6720 16.7604
angles: 98.01 98.01 90.00
Closest atoms and distances in Å follow each position.
Fractional coordinates of all 11 atoms:
Ho (0.3035, 0.3035, 0.6071)  5 Er 3.31-3.40, 4 Ho 3.40
Dy (0.4540, 0.4540, 0.9081)  1 Dy 3.02
Ho (0.1215, 0.6215, 0.2429)  6 Ho 3.30-3.40, 2 Dy 3.41, 2 Er 3.48
Ho (0.6215, 0.1215, 0.2429)  6 Ho 3.30-3.40, 2 Dy 3.41, 2 Er 3.48
Er (0.2001, 0.2001, 0.4002)  9 Ho 3.31-3.48
Dy (0.5460, 0.5460, 0.0919)  1 Dy 3.02
Er (0.0000, 0.0000, 0.0000)  8 Dy 3.63
Er (0.7999, 0.7999, 0.5998)  9 Ho 3.31-3.48
Ho (0.3785, 0.8785, 0.7571)  6 Ho 3.30-3.40, 2 Dy 3.41, 2 Er 3.48
Ho (0.6965, 0.6965, 0.3929)  5 Er 3.31-3.40, 4 Ho 3.40
Ho (0.8785, 0.3785, 0.7571)  6 Ho 3.30-3.40, 2 Dy 3.41, 2 Er 3.48

4.
Hf6NbAl3 | PBE | relaxed

Values from the calculation:
E_tot: -0.30547 hartree per atom
SG: No. 11
ρ: 10.40 g/cm3
Total magnetic moment: 0.00 μB per formula unit

abc: 4.9310 8.2044 10.5171
angles: 110.95 90.00 90.00
Closest atoms and distances in Å follow each position.
Fractional coordinates of all 20 atoms:
Nb (0.7500, 0.0487, 0.4053)  8 Hf 2.82-3.06
Hf (0.7500, 0.3496, 0.3273)  1 Nb 2.87, 5 Al 2.91-2.92, 3 Hf 3.09-3.19
Hf (0.2500, 0.2465, 0.4869)  4 Al 2.88-3.11, 3 Nb 2.91-3.02, 3 Hf 3.09-3.21
Hf (0.2500, 0.0852, 0.8822)  1 Nb 2.82, 4 Al 2.88-3.07, 4 Hf 2.93-3.03
Hf (0.7500, 0.5410, 0.9183)  7 Al 2.93-3.14, 5 Hf 3.03-3.21
Hf (0.2500, 0.4590, 0.0817)  7 Al 2.93-3.14, 5 Hf 3.03-3.21
Al (0.2500, 0.5528, 0.3783)  8 Hf 2.91-3.11, 2 Al 3.17, 1 Nb 3.25
Hf (0.2500, 0.1444, 0.1737)  8 Hf 2.93-3.09, 4 Al 3.07-3.27
Al (0.2500, 0.7667, 0.9699)  11 Hf 2.92-3.14, 1 Al 3.16
Al (0.7500, 0.4472, 0.6217)  8 Hf 2.91-3.11, 2 Al 3.17, 1 Nb 3.25
Hf (0.7500, 0.9148, 0.1178)  1 Nb 2.82, 4 Al 2.88-3.07, 4 Hf 2.93-3.03
Nb (0.2500, 0.9513, 0.5947)  8 Hf 2.82-3.06
Hf (0.7500, 0.1536, 0.7151)  4 Al 2.91-3.14, 3 Nb 2.99-3.06, 5 Hf 3.06-3.21
Al (0.2500, 0.3680, 0.7801)  8 Hf 2.88-2.99, 3 Al 3.16-3.17
Hf (0.7500, 0.7535, 0.5131)  4 Al 2.88-3.11, 3 Nb 2.91-3.02, 3 Hf 3.09-3.21
Hf (0.7500, 0.8556, 0.8263)  8 Hf 2.93-3.09, 4 Al 3.07-3.27
Hf (0.2500, 0.6504, 0.6727)  1 Nb 2.87, 5 Al 2.91-2.92, 3 Hf 3.09-3.19
Al (0.7500, 0.2333, 0.0301)  11 Hf 2.92-3.14, 1 Al 3.16
Hf (0.2500, 0.8464, 0.2849)  4 Al 2.91-3.14, 3 Nb 2.99-3.06, 5 Hf 3.06-3.21
Al (0.7500, 0.6320, 0.2199)  8 Hf 2.88-2.99, 3 Al 3.16-3.17

5.
Sr3Mg6Tl5 | PBE | relaxed

Values from the calculation:
E_tot: -0.07793 hartree per atom
SG: No. 59
ρ: 5.98 g/cm3
Total magnetic moment: 0.00 μB per formula unit

abc: 4.9603 10.8284 14.7945
angles: 90.00 90.00 90.00
Closest atoms and distances in Å follow each position.
Fractional coordinates of all 28 atoms:
Mg (0.5000, 0.0123, 0.3416)  4 Tl 2.97-3.15
Sr (0.5000, 0.7543, 0.1941)  8 Mg 3.48-3.74, 6 Tl 3.51-3.82
Mg (0.0000, 0.4272, 0.5000)  6 Tl 3.10-3.45, 2 Mg 3.12
Mg (0.5000, 0.9658, 0.0000)  4 Tl 2.98-3.10
Tl (0.0000, 0.7936, 0.0000)  6 Mg 3.10-3.45, 2 Tl 3.32
Tl (0.5000, 0.4638, 0.3777)  5 Mg 2.93-3.10
Mg (0.5000, 0.4100, 0.8259)  4 Tl 2.93-3.07, 1 Mg 3.12
Tl (0.0000, 0.5362, 0.8777)  5 Mg 2.93-3.10
Tl (0.5000, 0.2064, 0.5000)  6 Mg 3.10-3.45, 2 Tl 3.32
Mg (0.0000, 0.9877, 0.8416)  4 Tl 2.97-3.15
Mg (0.5000, 0.0123, 0.6584)  4 Tl 2.97-3.15
Mg (0.5000, 0.4100, 0.1741)  4 Tl 2.93-3.07, 1 Mg 3.12
Tl (0.0000, 0.5362, 0.1223)  5 Mg 2.93-3.10
Mg (0.0000, 0.5900, 0.3259)  4 Tl 2.93-3.07, 1 Mg 3.12
Mg (0.5000, 0.5728, 0.0000)  6 Tl 3.10-3.45, 2 Mg 3.12
Mg (0.0000, 0.5900, 0.6741)  4 Tl 2.93-3.07, 1 Mg 3.12
Sr (0.0000, 0.2457, 0.6941)  8 Mg 3.48-3.74, 6 Tl 3.51-3.82
Tl (0.5000, 0.1379, 0.1572)  5 Mg 2.96-3.05
Tl (0.0000, 0.8621, 0.6572)  5 Mg 2.96-3.05
Sr (0.5000, 0.7543, 0.8059)  8 Mg 3.48-3.74, 6 Tl 3.51-3.82
Mg (0.0000, 0.9877, 0.1584)  4 Tl 2.97-3.15
Mg (0.0000, 0.0342, 0.5000)  4 Tl 2.98-3.10
Sr (0.5000, 0.7497, 0.5000)  6 Tl 3.59-3.61, 8 Mg 3.69-3.97
Tl (0.5000, 0.1379, 0.8428)  5 Mg 2.96-3.05
Tl (0.5000, 0.4638, 0.6223)  5 Mg 2.93-3.10
Sr (0.0000, 0.2503, 0.0000)  6 Tl 3.59-3.61, 8 Mg 3.69-3.97
Sr (0.0000, 0.2457, 0.3059)  8 Mg 3.48-3.74, 6 Tl 3.51-3.82
Tl (0.0000, 0.8621, 0.3428)  5 Mg 2.96-3.05

6.
Er8Tm3Th2 | PBE | relaxed

Values from the calculation:
E_tot: -0.18217 hartree per atom
SG: No. 2
ρ: 9.60 g/cm3
Total magnetic moment: 0.00 μB per formula unit

abc: 11.0894 7.8464 17.9663
angles: 74.62 104.36 147.96
Closest atoms and distances in Å follow each position.
Fractional coordinates of all 26 atoms:
Th (0.7296, 0.3088, 0.1164)  9 Er 3.46-3.54, 3 Tm 3.50-3.51
Tm (0.0363, 0.3828, 0.2686)  8 Er 3.49-3.55, 2 Tm 3.49-3.52, 2 Th 3.50-3.54
Er (0.3054, 0.0730, 0.1542)  2 Th 3.49-3.51, 3 Tm 3.49-3.54, 7 Er 3.50-3.54
Tm (0.5000, 0.0000, 0.5000)  10 Er 3.49-3.55, 2 Th 3.52
Tm (0.4583, 0.6143, 0.2309)  8 Er 3.48-3.54, 2 Tm 3.49-3.52, 2 Th 3.50-3.51
Tm (0.0000, 0.0000, 0.0000)  2 Th 3.51, 10 Er 3.51-3.54
Th (0.3482, 0.4632, 0.4229)  8 Er 3.47-3.54, 1 Th 3.50, 3 Tm 3.50-3.54
Er (0.4250, 0.2288, 0.9616)  7 Er 3.46-3.57, 2 Th 3.49-3.52, 3 Tm 3.52-3.54
Th (0.6518, 0.5368, 0.5771)  8 Er 3.47-3.54, 1 Th 3.50, 3 Tm 3.50-3.54
Er (0.8811, 0.8389, 0.1920)  1 Th 3.46, 7 Er 3.48-3.56, 4 Tm 3.51-3.54
Er (0.6946, 0.9270, 0.8458)  2 Th 3.49-3.51, 3 Tm 3.49-3.54, 7 Er 3.50-3.54
Er (0.8049, 0.0703, 0.6535)  1 Th 3.48, 8 Er 3.49-3.58, 3 Tm 3.49-3.55
Er (0.2341, 0.3105, 0.6142)  3 Th 3.47-3.54, 6 Er 3.48-3.56, 3 Tm 3.50-3.53
Er (0.3848, 0.8475, 0.6935)  2 Th 3.47-3.51, 4 Tm 3.48-3.54, 6 Er 3.48-3.56
Er (0.1951, 0.9297, 0.3465)  1 Th 3.48, 8 Er 3.49-3.58, 3 Tm 3.49-3.55
Er (0.1561, 0.5441, 0.0759)  6 Er 3.46-3.56, 3 Th 3.51-3.54, 3 Tm 3.51-3.53
Er (0.8439, 0.4559, 0.9241)  6 Er 3.46-3.56, 3 Th 3.51-3.54, 3 Tm 3.51-3.53
Th (0.2704, 0.6912, 0.8836)  9 Er 3.46-3.54, 3 Tm 3.50-3.51
Er (0.7659, 0.6895, 0.3858)  3 Th 3.47-3.54, 6 Er 3.48-3.56, 3 Tm 3.50-3.53
Er (0.6152, 0.1525, 0.3065)  2 Th 3.47-3.51, 4 Tm 3.48-3.54, 6 Er 3.48-3.56
Tm (0.5417, 0.3857, 0.7691)  8 Er 3.48-3.54, 2 Tm 3.49-3.52, 2 Th 3.50-3.51
Er (0.9174, 0.2206, 0.4628)  3 Th 3.47-3.54, 6 Er 3.48-3.58, 3 Tm 3.49-3.55
Er (0.1189, 0.1611, 0.8080)  1 Th 3.46, 7 Er 3.48-3.56, 4 Tm 3.51-3.54
Er (0.5750, 0.7712, 0.0384)  7 Er 3.46-3.57, 2 Th 3.49-3.52, 3 Tm 3.52-3.54
Er (0.0826, 0.7794, 0.5372)  3 Th 3.47-3.54, 6 Er 3.48-3.58, 3 Tm 3.49-3.55
Tm (0.9637, 0.6172, 0.7314)  8 Er 3.49-3.55, 2 Tm 3.49-3.52, 2 Th 3.50-3.54